An optimized crystal structure of SmFeO3, computed with GGA+U.

abc: 5.689 7.803 5.437
angles: 90.00 90.00 90.00
Sites, in units of the cell vectors:
Sm 0.062 0.250 0.016
Sm 0.438 0.750 0.516
Sm 0.562 0.250 0.484
Sm 0.938 0.750 0.984
Fe 0.000 0.000 0.500
Fe 0.000 0.500 0.500
Fe 0.500 0.000 0.000
Fe 0.500 0.500 0.000
O 0.034 0.750 0.397
O 0.199 0.554 0.802
O 0.199 0.946 0.802
O 0.301 0.054 0.302
O 0.301 0.446 0.302
O 0.466 0.250 0.897
O 0.534 0.750 0.103
O 0.699 0.554 0.698
O 0.699 0.946 0.698
O 0.801 0.054 0.198
O 0.801 0.446 0.198
O 0.966 0.250 0.603

Properties
- Raw total energy: -0.5546 Ry per atom
- SG: Pnma, No. 62